Entry 1:
CdRh: optimized geometry, GGA-PBE.

## Properties
- calculated formation energy (eV/atom) = -0.0698
- crystal system = monoclinic
- electronic total energy (eV/atom) = -4.203

a = 4.865 Å, b = 2.927 Å, c = 5.789 Å
α = 75.36°, β = 59.87°, γ = 90.00°
Positions (direct):
Cd (0.959, 0.986, 0.028)
Cd (0.125, 0.764, 0.472)
Rh (0.577, 0.232, 0.537)
Rh (0.507, 0.518, 0.963)

Entry 2:
BaReGe2Se: optimized geometry, GGA-PBE.

## Properties
- crystal system = tetragonal
- electronic total energy (eV/atom) = -3.148
- formation energy from raw total energies (meV per atom) = 2270

a = 5.775 Å, b = 5.460 Å, c = 5.775 Å
α = 90.00°, β = 90.00°, γ = 90.00°
Last column: magnetic moment on the atom in μB.
Positions (direct):
Re (0.000, 0.500, 0.000)  2.84
Ge (0.000, 0.000, 0.500)  -0.07
Ge (0.500, 0.000, 0.000)  -0.08
Ba (0.000, 0.000, 0.000)  -0.01
Se (0.500, 0.500, 0.500)  0.02

Entry 3:
Nd2SmAu6: optimized geometry, GGA-PBE.

## Properties
- calculated formation energy (eV/atom) = -0.7011
- crystal system = orthorhombic
- electronic total energy (eV/atom) = -4.470

a = 3.723 Å, b = 8.614 Å, c = 8.614 Å
α = 53.51°, β = 77.52°, γ = 77.52°
Positions (direct):
Au (0.676, 0.641, 0.008)
Au (0.500, 0.314, 0.686)
Au (0.500, 0.686, 0.314)
Au (0.324, 0.992, 0.359)
Au (0.324, 0.359, 0.992)
Au (0.676, 0.008, 0.641)
Nd (0.141, 0.359, 0.359)
Nd (0.859, 0.641, 0.641)
Sm (0.000, 0.000, 0.000)

Entry 4:
BaMn2PBr: optimized geometry, GGA-PBE.

## Properties
- crystal system = tetragonal
- electronic total energy (eV/atom) = -4.934
- formation energy from raw total energies (meV per atom) = 535

a = 4.757 Å, b = 6.238 Å, c = 4.757 Å
α = 90.00°, β = 90.00°, γ = 90.00°
Last column: magnetic moment on the atom in μB.
Positions (direct):
P (0.500, 0.500, 0.500)  0.13
Ba (0.000, 0.500, 0.000)  -0.01
Mn (0.000, 0.000, 0.500)  3.56
Mn (0.500, 0.000, 0.000)  3.87
Br (0.000, 0.000, 0.000)  0.01

Entry 5:
DyPuMn2: optimized geometry, GGA-PBE.

## Properties
- calculated formation energy (eV/atom) = 0.1286
- crystal system = tetragonal
- electronic total energy (eV/atom) = -9.190

a = 3.360 Å, b = 4.872 Å, c = 4.872 Å
α = 90.00°, β = 90.00°, γ = 90.00°
Last column: magnetic moment on the atom in μB.
Positions (direct):
Dy (0.500, 0.500, 0.500)  0.37
Pu (0.500, 0.000, 0.000)  5.36
Mn (0.000, 0.500, 0.000)  -3.01
Mn (0.000, 0.000, 0.500)  -3.01

Entry 6:
La6Ru2I3N: optimized geometry, GGA-PBE.

## Properties
- crystal system = monoclinic
- electronic total energy (eV/atom) = -6.025
- formation energy from raw total energies (meV per atom) = -934

a = 7.112 Å, b = 7.112 Å, c = 8.515 Å
α = 98.03°, β = 98.03°, γ = 119.89°
Positions (direct):
La (0.745, 0.745, 0.180)
La (0.255, 0.255, 0.820)
La (0.627, 0.941, 0.822)
La (0.059, 0.373, 0.178)
La (0.941, 0.627, 0.822)
La (0.373, 0.059, 0.178)
Ru (0.333, 0.667, 0.000)
Ru (0.667, 0.333, 0.000)
I (0.500, 0.500, 0.500)
I (0.829, 0.171, 0.500)
I (0.171, 0.829, 0.500)
N (0.000, 0.000, 0.000)

Entry 7:
AcInSnHg: optimized geometry, GGA-PBE.

## Properties
- calculated formation energy (eV/atom) = -0.3549
- crystal system = cubic
- electronic total energy (eV/atom) = -3.143
- E above lowest polymorph (meV per atom) = 84

a = 5.518 Å, b = 5.518 Å, c = 5.518 Å
α = 60.00°, β = 60.00°, γ = 60.00°
Positions (direct):
Sn (0.250, 0.250, 0.250)
In (0.000, 0.000, 0.000)
Ac (0.500, 0.500, 0.500)
Hg (0.750, 0.750, 0.750)

Entry 8:
Be5Cu2Au5: optimized geometry, GGA-PBE.

## Properties
- calculated formation energy (eV/atom) = -0.0438
- crystal system = monoclinic
- electronic total energy (eV/atom) = -3.645

a = 4.068 Å, b = 4.068 Å, c = 11.216 Å
α = 81.74°, β = 81.74°, γ = 60.23°
Positions (direct):
Be (0.625, 0.625, 0.155)
Be (0.000, 0.000, 0.000)
Be (0.853, 0.853, 0.438)
Be (0.375, 0.375, 0.845)
Be (0.147, 0.147, 0.562)
Au (0.500, 0.500, 0.500)
Au (0.689, 0.689, 0.918)
Au (0.776, 0.776, 0.660)
Au (0.224, 0.224, 0.340)
Au (0.311, 0.311, 0.082)
Cu (0.935, 0.935, 0.216)
Cu (0.065, 0.065, 0.784)

Entry 9:
Tm8Ga3PSe3: optimized geometry, GGA-PBE.

## Properties
- crystal system = triclinic
- electronic total energy (eV/atom) = -5.119
- formation energy from raw total energies (meV per atom) = -1072

a = 7.811 Å, b = 7.794 Å, c = 8.364 Å
α = 117.74°, β = 90.01°, γ = 119.98°
Positions (direct):
Se (0.000, 0.500, 0.500)
Se (0.500, 0.500, 0.500)
Se (0.500, 0.000, 0.500)
Ga (0.500, 0.500, 0.000)
Ga (0.000, 0.500, 0.000)
Ga (0.000, 0.000, 0.000)
Tm (0.757, 0.999, 0.741)
Tm (0.758, 0.516, 0.259)
Tm (0.252, 0.503, 0.254)
Tm (0.243, 0.001, 0.259)
Tm (0.242, 0.484, 0.741)
Tm (0.242, 0.999, 0.741)
Tm (0.748, 0.497, 0.746)
Tm (0.758, 0.001, 0.259)
P (0.000, 0.000, 0.500)

Entry 10:
BaTeAs: optimized geometry, GGA-PBE.

## Properties
- crystal system = tetragonal
- electronic total energy (eV/atom) = -3.991
- formation energy from raw total energies (meV per atom) = -753

a = 6.228 Å, b = 6.228 Å, c = 6.228 Å
α = 136.50°, β = 136.50°, γ = 63.21°
Positions (direct):
As (0.947, 0.947, 0.000)
Te (0.702, 0.702, 0.000)
Ba (0.351, 0.351, 0.000)

Entry 11:
Sm4SnGe: optimized geometry, GGA-PBE.

## Properties
- calculated formation energy (eV/atom) = -0.4170
- crystal system = monoclinic
- electronic total energy (eV/atom) = -5.000
- E above lowest polymorph (meV per atom) = 156

a = 5.907 Å, b = 7.886 Å, c = 8.708 Å
α = 105.41°, β = 109.83°, γ = 89.98°
Positions (direct):
Sm (0.704, 0.451, 0.149)
Sm (0.289, 0.632, 0.332)
Sm (0.956, 0.868, 0.668)
Sm (0.296, 0.549, 0.851)
Sm (0.044, 0.132, 0.332)
Sm (0.445, 0.951, 0.149)
Sm (0.555, 0.049, 0.851)
Sm (0.711, 0.368, 0.668)
Ge (0.500, 0.000, 0.500)
Ge (0.000, 0.500, 0.500)
Sn (0.129, 0.250, 0.000)
Sn (0.871, 0.750, 0.000)

Entry 12:
TmHg2Pd9: optimized geometry, GGA-PBE.

## Properties
- calculated formation energy (eV/atom) = -0.3662
- crystal system = tetragonal
- electronic total energy (eV/atom) = -4.684

a = 4.047 Å, b = 4.047 Å, c = 12.355 Å
α = 90.00°, β = 90.00°, γ = 90.00°
Positions (direct):
Pd (0.500, 0.500, 0.668)
Pd (0.000, 0.500, 0.833)
Pd (0.500, 0.500, 0.332)
Pd (0.500, 0.000, 0.167)
Pd (0.000, 0.500, 0.500)
Pd (0.000, 0.500, 0.167)
Pd (0.500, 0.000, 0.500)
Pd (0.500, 0.000, 0.833)
Pd (0.500, 0.500, 0.000)
Hg (0.000, 0.000, 0.664)
Hg (0.000, 0.000, 0.336)
Tm (0.000, 0.000, 0.000)